Record 1
Computed, not measured: an optimized crystal structure of LiSnGe at the PBE level of DFT.

The structure in POSCAR format:
```
LiSnGe
1.0
2.962 0.000 0.000
0.000 4.974 0.000
0.000 -2.487 4.308
Ge Sn Li
1 1 1
Direct
0.168 0.333 0.667
0.166 0.000 0.000
0.665 0.667 0.333
```

Values from the calculation:
Calculated total energy = -3.61 eV per atom
DOS(E_F) = 0.356 states/eV/atom
Volume = 63 Å³/f.u.
Formation enthalpy at 0 K = -0.098 eV per atom
Space group = P3m1 (156)

Record 2
Computed, not measured: an optimized crystal structure of Li5SnGe at the PBE level of DFT.

The structure in POSCAR format:
```
Li5SnGe
1.0
-6.768 -0.956 0.887
-3.913 -1.643 5.431
-6.856 5.909 5.201
Li Sn Ge
10 2 2
Direct
0.802 0.750 0.044
0.338 0.351 0.617
0.750 0.802 0.544
0.215 0.785 0.250
0.649 0.662 0.883
0.351 0.338 0.117
0.785 0.215 0.750
0.250 0.198 0.456
0.662 0.649 0.383
0.198 0.250 0.956
0.702 0.298 0.250
0.298 0.702 0.750
0.000 0.000 0.000
0.000 0.000 0.500
```

Values from the calculation:
Calculated total energy = -2.82 eV per atom
DOS(E_F) = 0.352 states/eV/atom
Volume = 130 Å³/f.u.
Formation enthalpy at 0 K = -0.222 eV per atom
Space group = C2/c (15)

Record 3
Computed, not measured: an optimized crystal structure of Li4SnGe at the PBE level of DFT.

The structure in POSCAR format:
```
Li4SnGe
1.0
-2.342 3.264 -2.069
-3.014 -1.672 -4.160
-4.178 1.885 2.769
Li Sn Ge
4 1 1
Direct
0.690 0.653 0.968
0.310 0.347 0.032
0.194 0.130 0.481
0.806 0.870 0.519
0.500 0.500 0.500
0.000 0.000 0.000
```

Values from the calculation:
Calculated total energy = -3.06 eV per atom
DOS(E_F) = 0.150 states/eV/atom
Volume = 103 Å³/f.u.
Formation enthalpy at 0 K = -0.344 eV per atom
Space group = C2/m (12)

Record 4
Computed, not measured: an optimized crystal structure of Li5Sn2Ge at the PBE level of DFT.

The structure in POSCAR format:
```
Li5Sn2Ge
1.0
4.678 0.000 0.000
0.000 4.678 0.000
-2.339 -2.339 6.520
Li Sn Ge
5 2 1
Direct
0.500 0.500 0.000
0.886 0.386 0.772
0.386 0.886 0.772
0.114 0.614 0.228
0.614 0.114 0.228
0.751 0.751 0.502
0.249 0.249 0.498
0.000 0.000 0.000
```

Values from the calculation:
Calculated total energy = -3.10 eV per atom
DOS(E_F) = 0.220 states/eV/atom
Volume = 143 Å³/f.u.
Formation enthalpy at 0 K = -0.329 eV per atom
Space group = I4/mmm (139)

Record 5
Computed, not measured: an optimized crystal structure of Li6SnGe at the PBE level of DFT.

The structure in POSCAR format:
```
Li6SnGe
1.0
-1.566 -3.012 -3.016
2.865 -2.026 -2.883
1.495 -7.110 2.906
Li Sn Ge
6 1 1
Direct
0.629 0.629 0.112
0.121 0.121 0.638
0.879 0.879 0.362
0.371 0.371 0.888
0.249 0.249 0.252
0.751 0.751 0.748
0.500 0.500 0.500
0.000 0.000 0.000
```

Values from the calculation:
Excess energy over the best structure of this formula in the dataset = 0.0 meV per atom
Calculated total energy = -2.86 eV per atom
DOS(E_F) = 0.371 states/eV/atom
Volume = 132 Å³/f.u.
Formation enthalpy at 0 K = -0.348 eV per atom
Space group = R-3m (166)

Record 6
Computed, not measured: an optimized crystal structure of LiSnGe2 at the PBE level of DFT.

The structure in POSCAR format:
```
LiSnGe2
1.0
-7.408 1.886 2.152
1.877 -1.303 7.605
-2.004 2.971 5.150
Ge Sn Li
4 2 2
Direct
0.651 0.125 0.250
0.099 0.625 0.250
0.375 0.349 0.750
0.875 0.901 0.750
0.000 0.000 0.000
0.750 0.250 0.500
0.500 0.500 0.000
0.250 0.750 0.500
```

Values from the calculation:
Calculated total energy = -3.72 eV per atom
DOS(E_F) = 0.476 states/eV/atom
Volume = 88 Å³/f.u.
Formation enthalpy at 0 K = 0.072 eV per atom
Space group = I-42d (122)

Record 7
Computed, not measured: an optimized crystal structure of Li9SnGe2 at the PBE level of DFT.

The structure in POSCAR format:
```
Li9SnGe2
1.0
5.167 0.000 0.000
2.583 4.475 0.000
2.583 1.492 8.919
Li Sn Ge
9 1 2
Direct
0.664 0.664 0.009
0.336 0.336 0.991
0.500 0.500 0.500
0.403 0.403 0.273
0.920 0.403 0.273
0.403 0.920 0.273
0.597 0.597 0.727
0.597 0.080 0.727
0.080 0.597 0.727
0.000 0.000 0.000
0.848 0.848 0.455
0.152 0.152 0.545
```

Values from the calculation:
Calculated total energy = -2.59 eV per atom
DOS(E_F) = 0.424 states/eV/atom
Volume = 206 Å³/f.u.
Formation enthalpy at 0 K = -0.056 eV per atom
Space group = R-3m (166)

Record 8
Computed, not measured: an optimized crystal structure of Li12Sn5Ge2 at the PBE level of DFT.

The structure in POSCAR format:
```
Li12Sn5Ge2
1.0
5.966 0.000 0.000
-2.983 7.545 -0.227
0.000 -3.005 8.611
Li Sn Ge
12 5 2
Direct
0.941 0.881 0.149
0.082 0.679 0.788
0.597 0.679 0.788
0.103 0.692 0.318
0.589 0.692 0.318
0.482 0.965 0.694
0.518 0.035 0.306
0.897 0.308 0.682
0.411 0.308 0.682
0.918 0.321 0.212
0.403 0.321 0.212
0.059 0.119 0.851
0.230 0.460 0.493
0.309 0.618 0.032
0.000 0.000 0.500
0.691 0.382 0.968
0.770 0.540 0.507
0.701 0.000 0.000
0.299 0.000 0.000
```

Values from the calculation:
Calculated total energy = -2.96 eV per atom
DOS(E_F) = 0.337 states/eV/atom
Volume = 384 Å³/f.u.
Formation enthalpy at 0 K = -0.215 eV per atom
Space group = C2/m (12)

Record 9
Computed, not measured: an optimized crystal structure of LiSnGe at the PBE level of DFT.

The structure in POSCAR format:
```
LiSnGe
1.0
-4.153 3.941 1.744
-0.160 -1.580 -7.078
-3.909 -4.614 1.118
Ge Li Sn
4 4 4
Direct
0.634 0.268 0.514
0.866 0.732 0.014
0.366 0.732 0.486
0.134 0.268 0.986
0.259 0.018 0.250
0.241 0.982 0.750
0.741 0.982 0.750
0.759 0.018 0.250
0.841 0.682 0.481
0.659 0.318 0.981
0.159 0.318 0.519
0.341 0.682 0.019
```

Values from the calculation:
Calculated total energy = -3.67 eV per atom
DOS(E_F) = 0.249 states/eV/atom
Volume = 61 Å³/f.u.
Formation enthalpy at 0 K = -0.162 eV per atom
Space group = Cmce (64)

Record 10
Computed, not measured: an optimized crystal structure of LiSnGe at the PBE level of DFT.

The structure in POSCAR format:
```
LiSnGe
1.0
4.347 0.000 0.000
0.000 3.041 0.001
0.000 -0.003 9.499
Li Sn Ge
2 2 2
Direct
0.250 0.000 0.802
0.750 0.000 0.198
0.750 0.500 0.614
0.250 0.500 0.386
0.250 0.500 0.080
0.750 0.500 0.920
```

Values from the calculation:
Calculated total energy = -3.64 eV per atom
DOS(E_F) = 0.265 states/eV/atom
Volume = 63 Å³/f.u.
Formation enthalpy at 0 K = -0.124 eV per atom
Space group = Pmma (51)

Record 11
Computed, not measured: an optimized crystal structure of LiSnGe2 at the PBE level of DFT.

The structure in POSCAR format:
```
LiSnGe2
1.0
4.128 0.000 0.000
2.064 3.575 0.000
2.064 1.192 6.989
Ge Sn Li
2 1 1
Direct
0.136 0.136 0.593
0.864 0.864 0.407
0.000 0.000 0.000
0.500 0.500 0.500
```

Values from the calculation:
Calculated total energy = -3.57 eV per atom
DOS(E_F) = 0.271 states/eV/atom
Volume = 103 Å³/f.u.
Formation enthalpy at 0 K = 0.219 eV per atom
Space group = R-3m (166)

Record 12
Computed, not measured: an optimized crystal structure of Li8Sn6Ge at the PBE level of DFT.

The structure in POSCAR format:
```
Li8Sn6Ge
1.0
7.843 0.000 0.000
3.922 6.792 0.000
3.922 2.264 5.945
Li Sn Ge
8 6 1
Direct
0.672 0.148 0.339
0.852 0.158 0.661
0.158 0.328 0.661
0.594 0.594 0.217
0.406 0.406 0.783
0.842 0.672 0.339
0.148 0.842 0.339
0.328 0.852 0.661
0.496 0.974 0.822
0.026 0.292 0.178
0.292 0.504 0.178
0.708 0.496 0.822
0.974 0.708 0.822
0.504 0.026 0.178
0.000 0.000 0.000
```

Values from the calculation:
Calculated total energy = -3.15 eV per atom
DOS(E_F) = 0.334 states/eV/atom
Volume = 317 Å³/f.u.
Formation enthalpy at 0 K = -0.223 eV per atom
Space group = R-3 (148)

Record 13
Computed, not measured: an optimized crystal structure of Li7Sn2Ge2 at the PBE level of DFT.

The structure in POSCAR format:
```
Li7Sn2Ge2
1.0
2.907 0.000 0.000
1.454 8.968 -0.087
1.454 4.176 7.937
Li Sn Ge
7 2 2
Direct
0.836 0.017 0.312
0.852 0.462 0.833
0.500 0.041 0.959
0.590 0.499 0.320
0.410 0.680 0.501
0.164 0.688 0.983
0.148 0.167 0.538
0.741 0.846 0.673
0.259 0.327 0.154
0.000 0.790 0.210
0.500 0.335 0.665
```

Values from the calculation:
Calculated total energy = -3.02 eV per atom
DOS(E_F) = 0.319 states/eV/atom
Volume = 208 Å³/f.u.
Formation enthalpy at 0 K = -0.236 eV per atom
Space group = Imm2 (44)

Record 14
Computed, not measured: an optimized crystal structure of LiSnGe2 at the PBE level of DFT.

The structure in POSCAR format:
```
LiSnGe2
1.0
4.343 0.000 0.000
0.000 4.307 0.000
0.000 0.000 4.307
Ge Sn Li
2 1 1
Direct
0.000 0.000 0.500
0.000 0.500 0.000
0.500 0.000 0.000
0.500 0.500 0.500
```

Values from the calculation:
Calculated total energy = -3.82 eV per atom
DOS(E_F) = 0.291 states/eV/atom
Volume = 81 Å³/f.u.
Formation enthalpy at 0 K = -0.037 eV per atom
Space group = P4/mmm (123)

Record 15
Computed, not measured: an optimized crystal structure of Li3SnGe at the PBE level of DFT.

The structure in POSCAR format:
```
Li3SnGe
1.0
6.758 -0.648 0.518
-3.882 5.569 -0.518
-2.672 -1.740 6.016
Li Sn Ge
6 2 2
Direct
0.083 0.345 0.764
0.083 0.819 0.238
0.581 0.845 0.762
0.076 0.331 0.245
0.581 0.319 0.236
0.085 0.831 0.755
0.740 0.832 0.408
0.424 0.332 0.592
0.404 0.832 0.071
0.761 0.332 0.929
```

Values from the calculation:
Excess energy over the best structure of this formula in the dataset = 105.5 meV per atom
Calculated total energy = -3.05 eV per atom
DOS(E_F) = 0.286 states/eV/atom
Volume = 108 Å³/f.u.
Formation enthalpy at 0 K = -0.182 eV per atom
Space group = Ima2 (46)

Record 16
Computed, not measured: an optimized crystal structure of LiSnGe2 at the PBE level of DFT.

The structure in POSCAR format:
```
LiSnGe2
1.0
-2.379 -2.287 2.824
-2.074 -3.584 -1.310
2.648 -4.785 1.696
Li Sn Ge
1 1 2
Direct
0.680 0.680 0.961
0.495 0.495 0.516
0.058 0.058 0.826
0.268 0.268 0.197
```

Values from the calculation:
Calculated total energy = -3.75 eV per atom
DOS(E_F) = 0.348 states/eV/atom
Volume = 84 Å³/f.u.
Formation enthalpy at 0 K = 0.042 eV per atom
Space group = R3m (160)

Record 17
Computed, not measured: an optimized crystal structure of LiTc2SnGe at the PBE level of DFT.

The structure in POSCAR format:
```
LiTc2SnGe
1.0
-1.386 4.430 -0.039
-1.395 -0.472 -3.996
-4.161 -1.288 1.605
Ge Li Sn Tc
1 1 1 2
Direct
0.000 0.000 0.000
0.000 0.500 0.000
0.500 0.500 0.500
0.000 0.000 0.500
0.500 0.000 0.000
```

Values from the calculation:
Calculated total energy = -5.67 eV per atom
DOS(E_F) = 1.002 states/eV/atom
Volume = 92 Å³/f.u.
Formation enthalpy at 0 K = 0.584 eV per atom
Space group = P4/mmm (123)

Record 18
Computed, not measured: an optimized crystal structure of Li2SnGeTe4 at the PBE level of DFT.

The structure in POSCAR format:
```
Li2SnGeTe4
1.0
4.178 0.000 0.000
0.000 7.262 0.143
0.000 -2.523 6.955
Li Sn Ge Te
2 1 1 4
Direct
0.500 0.000 0.500
0.000 0.500 0.500
0.500 0.500 0.000
0.000 0.000 0.000
0.500 0.242 0.250
0.500 0.758 0.750
0.000 0.242 0.745
0.000 0.758 0.255
```

Values from the calculation:
ΔE_f (raw) = -429 meV/atom
Calculated total energy = -3.56 eV per atom
DOS(E_F) = 0.342 states/eV/atom
Volume = 213 Å³/f.u.
Space group = P2/m (10)

Record 19
Computed, not measured: an optimized crystal structure of LiSnGeTe3 at the PBE level of DFT.

The structure in POSCAR format:
```
LiSnGeTe3
1.0
-1.825 -3.201 1.746
7.478 -2.185 3.813
-4.162 6.128 6.884
Li Sn Ge Te
2 2 2 6
Direct
0.250 0.085 0.599
0.750 0.915 0.401
0.750 0.806 0.733
0.250 0.194 0.267
0.250 0.665 0.099
0.750 0.335 0.901
0.250 0.751 0.505
0.750 0.892 0.124
0.750 0.440 0.178
0.750 0.249 0.495
0.250 0.560 0.822
0.250 0.108 0.876
```

Values from the calculation:
ΔE_f (raw) = -279 meV/atom
Calculated total energy = -3.61 eV per atom
DOS(E_F) = 0.423 states/eV/atom
Volume = 175 Å³/f.u.
Space group = P2_1/m (11)

Record 20
Computed, not measured: an optimized crystal structure of LiTmSnGe at the PBE level of DFT.

The structure in POSCAR format:
```
LiTmSnGe
1.0
5.008 0.000 0.000
2.504 4.337 0.000
2.504 1.446 4.089
Ge Tm Sn Li
1 1 1 1
Direct
0.250 0.250 0.250
0.000 0.000 0.000
0.750 0.750 0.750
0.500 0.500 0.500
```

Values from the calculation:
Calculated total energy = -4.11 eV per atom
DOS(E_F) = 0.760 states/eV/atom
Volume = 89 Å³/f.u.
Formation enthalpy at 0 K = -0.361 eV per atom
Space group = F-43m (216)